Below is a geometry-optimized LaOs2Cl structure, with properties calculated at the PBE-GGA level.

Geometry as extended XYZ:
```
4
Lattice="3.1837 0.0000 0.0000 0.0000 5.9006 0.0000 -0.0256 0.0000 4.3874" Properties=species:S:1:pos:R:3 pbc="T T T"
La 0.0000 0.0000 0.0000
Os 1.0151 2.9503 1.0857
Os 2.1430 2.9503 3.3018
Cl 1.5791 0.0000 2.1937
```

Values from the calculation:
Relative energy among the computed polymorphs in meV per atom: 433
ΔE_f (raw) in eV/atom: 0.20
Volume in Å³/cell: 82.4
Energy in eV per cell: -28.4

Below is a geometry-optimized LaOs2Cl structure, with properties calculated at the PBE-GGA level.

Geometry as extended XYZ:
```
4
Lattice="3.7454 0.0000 0.0000 0.0000 3.7454 0.0000 0.0000 0.0000 5.8455" Properties=species:S:1:pos:R:3 pbc="T T T"
La 0.0000 0.0000 0.0000
Os 0.0000 1.8727 2.9227
Os 1.8727 0.0000 2.9227
Cl 1.8727 1.8727 0.0000
```

Values from the calculation:
Relative energy among the computed polymorphs in meV per atom: 388
ΔE_f (raw) in eV/atom: 0.15
Volume in Å³/cell: 82.0
Energy in eV per cell: -28.6

Below is a geometry-optimized LaOsCl2 structure, with properties calculated at the PBE-GGA level.

Geometry as extended XYZ:
```
4
Lattice="3.4820 0.0000 0.0000 0.0000 3.4820 0.0000 0.0000 0.0000 8.3061" Properties=species:S:1:pos:R:3 pbc="T T T"
La 0.0000 0.0000 0.0000
Os 0.0000 0.0000 4.1530
Cl 1.7410 1.7410 1.5934
Cl 1.7410 1.7410 6.7126
```

Values from the calculation:
Relative energy among the computed polymorphs in meV per atom: 773
ΔE_f (raw) in eV/atom: 0.10
Volume in Å³/cell: 100.7
Energy in eV per cell: -19.5

Below is a geometry-optimized LaOs2Cl structure, with properties calculated at the PBE-GGA level.

Geometry as extended XYZ:
```
4
Lattice="3.0707 0.0000 0.0000 0.0000 3.8641 0.0000 -1.2601 0.0000 8.1454" Properties=species:S:1:pos:R:3 pbc="T T T"
La 0.0000 0.0000 0.0000
Os -0.0079 0.0000 2.8401
Os 1.5348 1.9321 2.1532
Cl 0.2760 1.9321 6.4676
```

Values from the calculation:
Relative energy among the computed polymorphs in meV per atom: 119
ΔE_f (raw) in eV/atom: -0.12
Volume in Å³/cell: 96.6
Energy in eV per cell: -29.7

Below is a geometry-optimized LaOsCl2 structure, with properties calculated at the PBE-GGA level.

Geometry as extended XYZ:
```
4
Lattice="3.3013 0.0000 0.0000 0.0000 3.3013 0.0000 0.0000 0.0000 10.7567" Properties=species:S:1:pos:R:3 pbc="T T T"
La 0.0000 0.0000 0.0000
Os 0.0000 0.0000 5.3783
Cl 1.6506 1.6506 1.7380
Cl 1.6506 1.6506 9.0187
```

Values from the calculation:
Relative energy among the computed polymorphs in meV per atom: 740
ΔE_f (raw) in eV/atom: 0.06
Volume in Å³/cell: 117.2
Energy in eV per cell: -19.6

Below is a geometry-optimized LaOs2Cl structure, with properties calculated at the PBE-GGA level.

Geometry as extended XYZ:
```
16
Lattice="6.7312 0.0000 0.0000 0.0000 6.7312 0.0000 0.0000 0.0000 6.7312" Properties=species:S:1:pos:R:3 pbc="T T T"
La 0.0000 0.0000 0.0000
La 0.0000 3.3656 3.3656
La 3.3656 0.0000 3.3656
La 3.3656 3.3656 0.0000
Os 0.0000 0.0000 3.3656
Os 0.0000 3.3656 0.0000
Os 1.6828 1.6828 1.6828
Os 1.6828 5.0484 5.0484
Os 3.3656 0.0000 0.0000
Os 3.3656 3.3656 3.3656
Os 5.0484 1.6828 5.0484
Os 5.0484 5.0484 1.6828
Cl 1.6828 1.6828 5.0484
Cl 1.6828 5.0484 1.6828
Cl 5.0484 1.6828 1.6828
Cl 5.0484 5.0484 5.0484
```

Values from the calculation:
Relative energy among the computed polymorphs in meV per atom: 909
ΔE_f (raw) in eV/atom: 0.67
Volume in Å³/cell: 305.0
Energy in eV per cell: -106.1

Below is a geometry-optimized La2OsCl2 structure, with properties calculated at the PBE-GGA level.

Geometry as extended XYZ:
```
10
Lattice="4.0973 0.0000 0.0000 0.0000 4.0973 0.0000 0.0000 0.0000 14.9650" Properties=species:S:1:pos:R:3 pbc="T T T"
La 0.0000 0.0000 1.6476
La 0.0000 0.0000 13.3174
La 2.0487 2.0487 5.8349
La 2.0487 2.0487 9.1301
Os 0.0000 0.0000 7.4825
Os 2.0487 2.0487 0.0000
Cl 0.0000 2.0487 3.7413
Cl 0.0000 2.0487 11.2238
Cl 2.0487 0.0000 3.7413
Cl 2.0487 0.0000 11.2238
```

Values from the calculation:
Relative energy among the computed polymorphs in meV per atom: 0
ΔE_f (raw) in eV/atom: -0.81
Volume in Å³/cell: 251.2
Energy in eV per cell: -57.7

Below is a geometry-optimized LaOs2Cl structure, with properties calculated at the PBE-GGA level.

Geometry as extended XYZ:
```
8
Lattice="5.0909 0.0000 0.0000 0.0000 11.0881 0.0000 0.0000 0.0000 2.9439" Properties=species:S:1:pos:R:3 pbc="T T T"
La 0.0000 0.0000 0.0000
La 2.5454 5.5440 0.0000
Os 1.2727 2.7720 1.4719
Os 1.2727 8.3161 1.4719
Os 3.8181 2.7720 1.4719
Os 3.8181 8.3161 1.4719
Cl 0.0000 5.5440 0.0000
Cl 2.5454 0.0000 0.0000
```

Values from the calculation:
Relative energy among the computed polymorphs in meV per atom: 946
ΔE_f (raw) in eV/atom: 0.71
Volume in Å³/cell: 166.2
Energy in eV per cell: -52.8

Below is a geometry-optimized LaOsCl2 structure, with properties calculated at the PBE-GGA level.

Geometry as extended XYZ:
```
16
Lattice="7.0878 0.0000 0.0000 0.0000 7.0878 0.0000 0.0000 0.0000 7.0878" Properties=species:S:1:pos:R:3 pbc="T T T"
La 0.0000 0.0000 0.0000
La 0.0000 3.5439 3.5439
La 3.5439 0.0000 3.5439
La 3.5439 3.5439 0.0000
Os 0.0000 0.0000 3.5439
Os 0.0000 3.5439 0.0000
Os 3.5439 0.0000 0.0000
Os 3.5439 3.5439 3.5439
Cl 1.7720 1.7720 1.7720
Cl 1.7720 1.7720 5.3159
Cl 1.7720 5.3159 1.7720
Cl 1.7720 5.3159 5.3159
Cl 5.3159 1.7720 1.7720
Cl 5.3159 1.7720 5.3159
Cl 5.3159 5.3159 1.7720
Cl 5.3159 5.3159 5.3159
```

Values from the calculation:
Relative energy among the computed polymorphs in meV per atom: 590
ΔE_f (raw) in eV/atom: -0.09
Volume in Å³/cell: 356.1
Energy in eV per cell: -80.8

Below is a geometry-optimized LaOsCl2 structure, with properties calculated at the PBE-GGA level.

Geometry as extended XYZ:
```
4
Lattice="3.4968 0.0000 0.0000 0.0000 3.4968 0.0000 0.0000 0.0000 8.3986" Properties=species:S:1:pos:R:3 pbc="T T T"
La 0.0000 0.0000 0.0000
Os 1.7484 1.7484 1.9579
Cl 0.0000 0.0000 3.1383
Cl 1.7484 1.7484 6.5864
```

Values from the calculation:
Relative energy among the computed polymorphs in meV per atom: 399
ΔE_f (raw) in eV/atom: -0.28
Volume in Å³/cell: 102.7
Energy in eV per cell: -21.0

Below is a geometry-optimized La2OsCl structure, with properties calculated at the PBE-GGA level.

Geometry as extended XYZ:
```
8
Lattice="7.8561 0.0000 0.0000 0.0000 7.7034 0.0000 -1.0363 0.0000 3.2686" Properties=species:S:1:pos:R:3 pbc="T T T"
La 1.9640 1.9258 0.0000
La 1.9640 5.7775 0.0000
La 5.8921 1.9258 0.0000
La 5.8921 5.7775 0.0000
Os -0.5182 0.0000 1.6343
Os 3.4099 3.8517 1.6343
Cl -0.5182 3.8517 1.6343
Cl 3.4099 0.0000 1.6343
```

Values from the calculation:
Relative energy among the computed polymorphs in meV per atom: 272
ΔE_f (raw) in eV/atom: -0.63
Volume in Å³/cell: 197.8
Energy in eV per cell: -50.9

Below is a geometry-optimized LaOsCl2 structure, with properties calculated at the PBE-GGA level.

Geometry as extended XYZ:
```
4
Lattice="3.3382 0.0000 0.0000 0.0000 4.2752 0.0000 0.0000 0.0000 6.3058" Properties=species:S:1:pos:R:3 pbc="T T T"
La 0.0000 0.0000 0.0000
Os 0.0000 0.0000 3.1529
Cl 1.6691 2.1376 1.4874
Cl 1.6691 2.1376 4.8184
```

Values from the calculation:
Relative energy among the computed polymorphs in meV per atom: 769
ΔE_f (raw) in eV/atom: 0.09
Volume in Å³/cell: 90.0
Energy in eV per cell: -19.5

Below is a geometry-optimized La3OsCl structure, with properties calculated at the PBE-GGA level.

Geometry as extended XYZ:
```
5
Lattice="5.6639 0.0000 0.0000 0.0000 5.6639 0.0000 0.0000 0.0000 5.6639" Properties=species:S:1:pos:R:3 pbc="T T T"
La 0.0000 0.0000 2.8319
La 0.0000 2.8319 0.0000
La 2.8319 0.0000 0.0000
Os 0.0000 0.0000 0.0000
Cl 2.8319 2.8319 2.8319
```

Values from the calculation:
Relative energy among the computed polymorphs in meV per atom: 417
ΔE_f (raw) in eV/atom: -0.30
Volume in Å³/cell: 181.7
Energy in eV per cell: -29.4

Below is a geometry-optimized La2OsCl structure, with properties calculated at the PBE-GGA level.

Geometry as extended XYZ:
```
4
Lattice="3.4591 0.0000 0.0000 0.0000 3.4591 0.0000 0.0000 0.0000 8.2470" Properties=species:S:1:pos:R:3 pbc="T T T"
La 0.0000 0.0000 1.7968
La 0.0000 0.0000 6.4502
Os 1.7295 1.7295 0.0000
Cl 1.7295 1.7295 4.1235
```

Values from the calculation:
Relative energy among the computed polymorphs in meV per atom: 53
ΔE_f (raw) in eV/atom: -0.85
Volume in Å³/cell: 98.7
Energy in eV per cell: -26.3

Below is a geometry-optimized LaOs2Cl structure, with properties calculated at the PBE-GGA level.

Geometry as extended XYZ:
```
8
Lattice="12.3912 0.0000 0.0000 0.0000 3.3238 0.0000 -1.3853 0.0000 3.9215" Properties=species:S:1:pos:R:3 pbc="T T T"
La 0.0000 0.0000 0.0000
La 6.1956 1.6619 0.0000
Os 2.7306 1.6619 0.9717
Os 2.0797 0.0000 2.9498
Os 8.9262 0.0000 0.9717
Os 8.2753 1.6619 2.9498
Cl -0.6926 1.6619 1.9607
Cl 5.5030 0.0000 1.9607
```

Values from the calculation:
Relative energy among the computed polymorphs in meV per atom: 365
ΔE_f (raw) in eV/atom: 0.13
Volume in Å³/cell: 161.5
Energy in eV per cell: -57.4